This record from Alexandria describes a geometry-optimized FeGe3C structure. The functional is PBE.

abc: 4.4877 4.4877 4.4877
angles: 90.00 90.00 90.00
Sites, in units of the cell vectors:
Fe: 0.0000 0.0000 0.0000
Ge: 0.0000 0.0000 0.5000
Ge: 0.0000 0.5000 0.0000
Ge: 0.5000 0.0000 0.0000
C: 0.5000 0.5000 0.5000

## Properties
Uncorrected energy   -25.3 eV for the cell shown
E_form   1.2472 eV per atom
Volume   18.08 Å³/atom
Energy above the most stable polymorph in this dataset   97 meV per atom
Fermi-level density of states   3.32 states/eV/f.u.